Computed, not measured: a relaxed TbInNi10 crystal at the PBE level of DFT.

```
TbInNi10
1.0
4.0158 0.0000 0.0000
0.0000 4.8034 0.0000
0.0000 0.0000 8.3300
Tb In Ni
1 1 10
Cartesian
0.0000 0.0000 0.0000 Tb
0.0000 2.4017 4.1650 In
0.0000 0.0000 2.8364 Ni
0.0000 0.0000 5.4936 Ni
0.0000 2.4017 1.4778 Ni
0.0000 2.4017 6.8522 Ni
2.0079 0.0000 4.1650 Ni
2.0079 1.1999 2.0894 Ni
2.0079 1.1999 6.2407 Ni
2.0079 2.4017 0.0000 Ni
2.0079 3.6035 2.0894 Ni
2.0079 3.6035 6.2407 Ni
```

Properties
V, Å³ per atom: 13.4
Magnetic moment, μB per cell: 3.74
E_form, meV per atom: -138
Crystal system: orthorhombic
Symmetry: Pmmm
Density, Mg/m³: 8.9